(1)
Entry from Alexandria: an optimized crystal structure of Rb3Ac2HoSe6 (PBE-GGA).

a = 7.768 Å, b = 7.768 Å, c = 8.449 Å
α = 98.84°, β = 98.84°, γ = 120.00°
Fractional coordinates of all 12 atoms:
Rb: 0.168 0.832 0.500
Rb: 0.832 0.168 0.500
Rb: 0.500 0.500 0.500
Se: 0.246 0.246 0.798
Se: 0.068 0.381 0.202
Se: 0.754 0.754 0.202
Se: 0.932 0.619 0.798
Se: 0.381 0.068 0.202
Se: 0.619 0.932 0.798
Ho: 0.000 0.000 0.000
Ac: 0.334 0.666 0.000
Ac: 0.666 0.334 0.000

Values from the calculation:
uncorrected formation energy: -1.77 eV/atom
size of the total moment: 0.0 μB per formula unit
density of states at the Fermi level: 0.000 states/eV per atom

***

(2)
Entry from Alexandria: an optimized crystal structure of InHg2I2 (PBE-GGA).

a = 9.502 Å, b = 9.502 Å, c = 4.420 Å
α = 90.00°, β = 90.00°, γ = 90.00°
Fractional coordinates of all 10 atoms:
Hg: 0.894 0.394 0.500
Hg: 0.394 0.106 0.500
Hg: 0.106 0.606 0.500
Hg: 0.606 0.894 0.500
I: 0.289 0.789 0.000
I: 0.789 0.711 0.000
I: 0.211 0.289 0.000
I: 0.711 0.211 0.000
In: 0.000 0.000 0.000
In: 0.500 0.500 0.000

Values from the calculation:
uncorrected formation energy: -0.07 eV/atom
size of the total moment: 0.0 μB per formula unit
density of states at the Fermi level: 1.442 states/eV per atom
excess energy over the best structure of this formula in the dataset: 173 meV/atom

***

(3)
Entry from Alexandria: an optimized crystal structure of Pr2Ni5B3 (PBE-GGA).

a = 4.986 Å, b = 7.992 Å, c = 7.992 Å
α = 73.91°, β = 71.82°, γ = 71.82°
Fractional coordinates of all 20 atoms:
B: 0.391 0.505 0.713
B: 0.250 0.000 0.000
B: 0.750 0.000 0.000
B: 0.109 0.287 0.495
B: 0.609 0.495 0.287
B: 0.891 0.713 0.505
Pr: 0.378 0.887 0.357
Pr: 0.878 0.357 0.887
Pr: 0.122 0.643 0.113
Pr: 0.622 0.113 0.643
Ni: 0.882 0.048 0.188
Ni: 0.118 0.952 0.812
Ni: 0.250 0.500 0.500
Ni: 0.040 0.710 0.710
Ni: 0.460 0.290 0.290
Ni: 0.960 0.290 0.290
Ni: 0.750 0.500 0.500
Ni: 0.618 0.812 0.952
Ni: 0.382 0.188 0.048
Ni: 0.540 0.710 0.710

Values from the calculation:
size of the total moment: 0.0 μB per formula unit
density of states at the Fermi level: 0.637 states/eV per atom
formation energy from the elements: -0.292 eV per atom